Record 1
Nd2SiPt | PBE-GGA | relaxed

The value obtained for the formation energy without anion corrections is -0.909 eV/atom. Its space group is P2_1/m (11). As for the uncorrected energy: -6.158 eV/atom. As for the crystal system: monoclinic.

Cell: 4.2983 5.8926 8.4023 Å, 111.50 90.00 90.00°
With the nearest neighbours (Å) after each atom.
Element x y z (fractional)
Nd 0.7500 0.2180 0.4169  3 Pt 3.06-3.16, 4 Si 3.10-3.14
Nd 0.2500 0.7820 0.5831  3 Pt 3.06-3.16, 4 Si 3.10-3.14
Nd 0.2500 0.7820 0.0633  4 Pt 3.06-3.21, 3 Si 3.13-3.15
Nd 0.7500 0.2180 0.9367  4 Pt 3.06-3.21, 3 Si 3.13-3.15
Si 0.7500 0.6526 0.2908  2 Pt 2.66
Si 0.2500 0.3474 0.7092  2 Pt 2.66
Pt 0.2500 0.3681 0.2150  2 Si 2.66
Pt 0.7500 0.6319 0.7850  2 Si 2.66

Record 2
Nd6Si2Pt | PBE-GGA | relaxed

The value obtained for the formation energy without anion corrections is -0.490 eV/atom. Its space group is P2_1/c (14). As for the uncorrected energy: -5.545 eV/atom. As for the crystal system: monoclinic.

Cell: 6.4384 8.1276 10.1363 Å, 90.00 90.43 90.00°
With the nearest neighbours (Å) after each atom.
Element x y z (fractional)
Nd 0.8615 0.9598 0.2382  1 Pt 2.81, 2 Si 3.10
Nd 0.8504 0.6686 0.5584  1 Pt 2.92, 2 Si 3.06-3.16
Nd 0.8687 0.6793 0.9348  1 Pt 2.87, 2 Si 3.09-3.11
Nd 0.6313 0.1793 0.5652  1 Pt 2.87, 2 Si 3.09-3.11
Nd 0.6496 0.1686 0.9416  1 Pt 2.92, 2 Si 3.06-3.16
Nd 0.6385 0.4598 0.2618  1 Pt 2.81, 2 Si 3.10
Nd 0.1385 0.0402 0.7618  1 Pt 2.81, 2 Si 3.10
Nd 0.1496 0.3314 0.4416  1 Pt 2.92, 2 Si 3.06-3.16
Nd 0.1313 0.3207 0.0652  1 Pt 2.87, 2 Si 3.09-3.11
Nd 0.3687 0.8207 0.4348  1 Pt 2.87, 2 Si 3.09-3.11
Nd 0.3504 0.8314 0.0584  1 Pt 2.92, 2 Si 3.06-3.16
Nd 0.3615 0.5402 0.7382  1 Pt 2.81, 2 Si 3.10
Si 0.9247 0.3816 0.7485  6 Nd 3.06-3.16
Si 0.5753 0.8816 0.7515  6 Nd 3.06-3.16
Si 0.4247 0.1184 0.2485  6 Nd 3.06-3.16
Si 0.0753 0.6184 0.2515  6 Nd 3.06-3.16
Pt 0.5000 0.5000 0.0000  6 Nd 2.81-2.92
Pt 0.0000 0.0000 0.5000  6 Nd 2.81-2.92

Record 3
Nd2Si3Pt2 | PBE-GGA | relaxed

The value obtained for the formation energy without anion corrections is -0.963 eV/atom. Its space group is Cmcm (63). As for the uncorrected energy: -6.376 eV/atom. As for the crystal system: orthorhombic.

Cell: 4.2968 6.9896 9.2366 Å, 90.00 103.45 90.00°
With the nearest neighbours (Å) after each atom.
Element x y z (fractional)
Nd 0.1531 0.2500 0.3063  6 Si 3.00-3.05, 6 Pt 3.07-3.13
Nd 0.8469 0.7500 0.6937  6 Si 3.00-3.05, 6 Pt 3.07-3.13
Nd 0.9443 0.2500 0.8886  9 Si 3.07-3.24
Nd 0.0557 0.7500 0.1114  9 Si 3.07-3.24
Si 0.2263 0.7500 0.4526  6 Pt 2.54-2.65
Si 0.7737 0.2500 0.5474  6 Pt 2.54-2.65
Si 0.5599 0.4285 0.1198  2 Si 2.37-2.50, 1 Pt 2.51
Si 0.4401 0.5715 0.8802  2 Si 2.37-2.50, 1 Pt 2.51
Si 0.4401 0.9285 0.8802  2 Si 2.37-2.50, 1 Pt 2.51
Si 0.5599 0.0715 0.1198  2 Si 2.37-2.50, 1 Pt 2.51
Pt 0.6918 0.9529 0.3837  4 Si 2.51-2.65
Pt 0.3082 0.0471 0.6163  4 Si 2.51-2.65
Pt 0.3082 0.4529 0.6163  4 Si 2.51-2.65
Pt 0.6918 0.5471 0.3837  4 Si 2.51-2.65

Record 4
Nd2Si3Pt3 | PBE-GGA | relaxed

The value obtained for the formation energy without anion corrections is 0.388 eV/atom. Its space group is P4/mmm (123). As for the uncorrected energy: -5.103 eV/atom. As for the crystal system: tetragonal.

Cell: 2.8770 2.8770 20.6699 Å, 90.00 90.00 90.00°
With the nearest neighbours (Å) after each atom.
Element x y z (fractional)
Nd 0.5000 0.5000 0.7520  1 Pt 2.83, 4 Nd 2.88, 1 Si 2.88
Nd 0.5000 0.5000 0.2480  1 Pt 2.83, 4 Nd 2.88, 1 Si 2.88
Si 0.5000 0.5000 0.3872  1 Pt 2.33
Si 0.5000 0.5000 0.6128  1 Pt 2.33
Si 0.5000 0.5000 0.0000  2 Pt 2.30
Pt 0.5000 0.5000 0.1111  1 Si 2.30
Pt 0.5000 0.5000 0.8889  1 Si 2.30
Pt 0.5000 0.5000 0.5000  2 Si 2.33

Record 5
Nd5Si2Pt2 | PBE-GGA | relaxed

The value obtained for the formation energy without anion corrections is -0.811 eV/atom. Its space group is Cmce (64). As for the uncorrected energy: -6.008 eV/atom. As for the crystal system: orthorhombic.

Cell: 7.7424 7.7655 8.6603 Å, 90.00 63.45 90.00°
With the nearest neighbours (Å) after each atom.
Element x y z (fractional)
Nd 0.0000 0.0000 0.0000  2 Pt 3.11, 4 Si 3.12
Nd 0.5000 0.5000 0.0000  2 Pt 3.11, 4 Si 3.12
Nd 0.4654 0.1684 0.7193  3 Pt 2.99-3.10, 3 Si 3.13-3.20
Nd 0.8153 0.8316 0.7193  3 Pt 2.99-3.10, 3 Si 3.13-3.20
Nd 0.3153 0.6684 0.7193  3 Pt 2.99-3.10, 3 Si 3.13-3.20
Nd 0.9654 0.3316 0.7193  3 Pt 2.99-3.10, 3 Si 3.13-3.20
Nd 0.5346 0.8316 0.2807  3 Pt 2.99-3.10, 3 Si 3.13-3.20
Nd 0.1847 0.1684 0.2807  3 Pt 2.99-3.10, 3 Si 3.13-3.20
Nd 0.6847 0.3316 0.2807  3 Pt 2.99-3.10, 3 Si 3.13-3.20
Nd 0.0346 0.6684 0.2807  3 Pt 2.99-3.10, 3 Si 3.13-3.20
Si 0.1140 0.3857 0.0000  1 Si 2.50
Si 0.8860 0.6143 0.0000  1 Si 2.50
Si 0.3860 0.8857 0.0000  1 Si 2.50
Si 0.6140 0.1143 0.0000  1 Si 2.50
Pt 0.2007 0.0000 0.5986  7 Nd 2.99-3.11
Pt 0.7007 0.5000 0.5986  7 Nd 2.99-3.11
Pt 0.7993 0.0000 0.4014  7 Nd 2.99-3.11
Pt 0.2993 0.5000 0.4014  7 Nd 2.99-3.11

Record 6
NdSi3Pt | PBE-GGA | relaxed

The value obtained for the formation energy without anion corrections is -0.465 eV/atom. Its space group is Cmcm (63). As for the uncorrected energy: -5.881 eV/atom. As for the crystal system: orthorhombic.

Cell: 4.6022 5.6416 7.4555 Å, 90.00 107.98 90.00°
With the nearest neighbours (Å) after each atom.
Element x y z (fractional)
Nd 0.9106 0.7500 0.8211  9 Si 2.88-3.18
Nd 0.0894 0.2500 0.1789  9 Si 2.88-3.18
Si 0.7174 0.0297 0.4347  4 Si 2.49-2.51, 1 Pt 2.53
Si 0.2826 0.9703 0.5653  4 Si 2.49-2.51, 1 Pt 2.53
Si 0.2826 0.5297 0.5653  4 Si 2.49-2.51, 1 Pt 2.53
Si 0.7174 0.4703 0.4347  4 Si 2.49-2.51, 1 Pt 2.53
Si 0.1287 0.7500 0.2574  2 Pt 2.41, 2 Si 2.51
Si 0.8713 0.2500 0.7426  2 Pt 2.41, 2 Si 2.51
Pt 0.5777 0.7500 0.1554  4 Si 2.41-2.53
Pt 0.4223 0.2500 0.8446  4 Si 2.41-2.53

Record 7
Nd2SiPt6 | PBE-GGA | relaxed

The value obtained for the formation energy without anion corrections is -1.009 eV/atom. Its space group is P-3m1 (164). The polymorph energy (0 for the lowest one) comes out at 0 meV per atom. As for the uncorrected energy: -6.698 eV/atom. As for the crystal system: trigonal.

Cell: 5.8934 5.7276 5.7276 Å, 60.00 89.99 89.99°
With the nearest neighbours (Å) after each atom.
Element x y z (fractional)
Nd 0.8398 0.6668 0.6668  9 Pt 2.98-3.17
Nd 0.1602 0.3332 0.3332  9 Pt 2.98-3.17
Si 0.0000 0.0000 0.0000  6 Pt 2.46
Pt 0.3023 0.3409 0.8293  1 Si 2.46
Pt 0.3026 0.8293 0.8293  1 Si 2.46
Pt 0.3023 0.8293 0.3409  1 Si 2.46
Pt 0.6977 0.6591 0.1707  1 Si 2.46
Pt 0.6974 0.1707 0.1707  1 Si 2.46
Pt 0.6977 0.1707 0.6591  1 Si 2.46

Record 8
NdSi3Pt2 | PBE-GGA | relaxed

The value obtained for the formation energy without anion corrections is -0.802 eV/atom. Its space group is C2/m (12). As for the uncorrected energy: -6.322 eV/atom. As for the crystal system: monoclinic.

Cell: 4.1544 7.2974 7.8672 Å, 106.39 105.31 90.00°
With the nearest neighbours (Å) after each atom.
Element x y z (fractional)
Nd 0.1448 0.1011 0.2896  6 Si 3.02-3.18, 4 Pt 3.15-3.31
Nd 0.8552 0.8989 0.7104  6 Si 3.02-3.18, 4 Pt 3.15-3.31
Si 0.6646 0.4386 0.3292  4 Pt 2.48-2.59, 1 Si 2.60
Si 0.9780 0.3353 0.9560  1 Si 2.30, 2 Pt 2.41
Si 0.3530 0.2173 0.7061  3 Pt 2.41-2.44, 1 Si 2.60
Si 0.6470 0.7827 0.2939  3 Pt 2.41-2.44, 1 Si 2.60
Si 0.0220 0.6647 0.0440  1 Si 2.30, 2 Pt 2.41
Si 0.3354 0.5614 0.6708  4 Pt 2.48-2.59, 1 Si 2.60
Pt 0.5090 0.1984 0.0180  4 Si 2.41-2.50
Pt 0.4910 0.8016 0.9820  4 Si 2.41-2.50
Pt 0.1922 0.6591 0.3844  6 Si 2.44-2.59
Pt 0.8078 0.3409 0.6156  6 Si 2.44-2.59